Computed, not measured: a relaxed TaNiH3 crystal at the GGA-PBE level of DFT.

Summary:
- space group = Pnma
- density of states at the Fermi level (states/eV/cell) = 7.3
- uncorrected energy (eV/atom) = -5.5224
- ρ (g/cm³) = 10.6

The structure in CIF format:
```
data_TaNiH3
_symmetry_space_group_name_H-M 'P 1'
_symmetry_Int_Tables_number 1
_symmetry_space_group_name_Hall 'P 1'
_cell_length_a 4.448
_cell_length_b 5.122
_cell_length_c 6.671
_cell_angle_alpha 90.00
_cell_angle_beta 90.00
_cell_angle_gamma 90.00
loop_
_atom_site_label
_atom_site_type_symbol
_atom_site_fract_x
_atom_site_fract_y
_atom_site_fract_z
_atom_site_occupancy
Ta1 Ta 0.750 0.756 0.605 1
Ta2 Ta 0.250 0.244 0.395 1
Ta3 Ta 0.750 0.256 0.895 1
Ta4 Ta 0.250 0.744 0.105 1
Ni1 Ni 0.750 0.519 0.239 1
Ni2 Ni 0.250 0.481 0.761 1
Ni3 Ni 0.750 0.019 0.261 1
Ni4 Ni 0.250 0.981 0.739 1
H1 H 0.250 0.883 0.517 1
H2 H 0.750 0.117 0.483 1
H3 H 0.250 0.383 0.983 1
H4 H 0.750 0.617 0.017 1
H5 H 0.955 0.910 0.862 1
H6 H 0.455 0.090 0.138 1
H7 H 0.545 0.410 0.638 1
H8 H 0.045 0.590 0.362 1
H9 H 0.045 0.090 0.138 1
H10 H 0.545 0.910 0.862 1
H11 H 0.455 0.590 0.362 1
H12 H 0.955 0.410 0.638 1
```